Density functional theory data (PBE with a Hubbard U) for Ni3SeO after structural relaxation.

theoretical density = 6.818 g cm⁻³
symmetry = No. 221
calculated volume = 66.01 Å³ per cell
density of states at the Fermi level = 1.5 states/eV/cell
excess energy over the best structure of this formula in the dataset = 0 meV/atom

Unit cell a=4.041 b=4.041 c=4.041 alpha=90.00 beta=90.00 gamma=90.00
Fractional positions:
Ni1 0.000 0.000 0.500
Ni2 0.000 0.500 0.000
Ni3 0.500 0.000 0.000
Se1 0.500 0.500 0.500
O1 0.000 0.000 0.000